No. 1
First-principles (PBE) data for a relaxed RbTa2Re2 crystal, as listed in Alexandria via LeMat-Bulk.

Cell lengths 4.2386, 4.2386, 13.5159 Å; angles 90.00, 90.00, 90.00 degrees
Positions (direct):
1 Rb 0.0000 0.0000 0.0000
2 Rb 0.5000 0.5000 0.5000
3 Ta 0.0000 0.0000 0.3592
4 Ta 0.0000 0.0000 0.6408
5 Ta 0.5000 0.5000 0.1408
6 Ta 0.5000 0.5000 0.8592
7 Re 0.0000 0.5000 0.2500
8 Re 0.0000 0.5000 0.7500
9 Re 0.5000 0.0000 0.2500
10 Re 0.5000 0.0000 0.7500

Output
* E above lowest polymorph: 181 meV/atom
* DOS at the Fermi energy: 6.8 states/eV per cell
* formation energy from the elements: 866 meV/atom
* V: 243 Å³/cell
* DFT total energy: -9.048 eV/atom

---

No. 2
First-principles (PBE) data for a relaxed LaPdPb crystal, as listed in Alexandria via LeMat-Bulk.

Cell lengths 14.2549, 4.0441, 8.0667 Å; angles 90.00, 90.00, 90.00 degrees
Positions (direct):
1 La 0.0479 0.0000 0.2314
2 La 0.2500 0.0000 0.8492
3 La 0.4521 0.0000 0.2314
4 La 0.5479 0.0000 0.7686
5 La 0.7500 0.0000 0.1508
6 La 0.9521 0.0000 0.7686
7 Pd 0.0929 0.5000 0.9345
8 Pd 0.2500 0.0000 0.4394
9 Pd 0.4071 0.5000 0.9345
10 Pd 0.5929 0.5000 0.0655
11 Pd 0.7500 0.0000 0.5606
12 Pd 0.9071 0.5000 0.0655
13 Pb 0.1232 0.5000 0.5681
14 Pb 0.2500 0.5000 0.1861
15 Pb 0.3768 0.5000 0.5681
16 Pb 0.6232 0.5000 0.4319
17 Pb 0.7500 0.5000 0.8139
18 Pb 0.8768 0.5000 0.4319

Output
* DOS at the Fermi energy: 11.5 states/eV per cell
* formation energy from the elements: -728 meV/atom
* V: 465 Å³/cell
* DFT total energy: -5.337 eV/atom

---

No. 3
First-principles (PBE) data for a relaxed ZnCr2RuSe crystal, as listed in Alexandria via LeMat-Bulk.

Cell lengths 4.8486, 4.8486, 4.6434 Å; angles 90.00, 90.00, 90.00 degrees
Positions (direct):
1 Zn 0.0000 0.0000 0.0000
2 Cr 0.0000 0.5000 0.5000
3 Cr 0.5000 0.0000 0.5000
4 Ru 0.5000 0.5000 0.5000
5 Se 0.5000 0.5000 0.0000

Output
* DOS at the Fermi energy: 4.8 states/eV per cell
* formation energy (no corrections): 869 meV per atom
* V: 109 Å³/cell
* DFT total energy: -5.787 eV/atom

---

No. 4
First-principles (PBE) data for a relaxed TbSc4Ni5 crystal, as listed in Alexandria via LeMat-Bulk.

Cell lengths 3.1840, 3.1840, 16.3460 Å; angles 90.00, 90.00, 90.00 degrees
Positions (direct):
1 Tb 0.0000 0.0000 0.0000
2 Sc 0.0000 0.0000 0.2081
3 Sc 0.0000 0.0000 0.4030
4 Sc 0.0000 0.0000 0.5970
5 Sc 0.0000 0.0000 0.7919
6 Ni 0.5000 0.5000 0.1159
7 Ni 0.5000 0.5000 0.3060
8 Ni 0.5000 0.5000 0.5000
9 Ni 0.5000 0.5000 0.6940
10 Ni 0.5000 0.5000 0.8841

Output
* DOS at the Fermi energy: 8.1 states/eV per cell
* formation energy from the elements: -464 meV/atom
* V: 166 Å³/cell
* DFT total energy: -6.351 eV/atom

---

No. 5
First-principles (PBE) data for a relaxed RbMgIN2 crystal, as listed in Alexandria via LeMat-Bulk.

Cell lengths 4.6822, 4.6822, 6.0004 Å; angles 90.00, 90.00, 90.00 degrees
Positions (direct):
1 Rb 0.0000 0.0000 0.0000
2 Mg 0.5000 0.5000 0.5000
3 I 0.5000 0.5000 0.0000
4 N 0.0000 0.5000 0.5000
5 N 0.5000 0.0000 0.5000

Output
* E above lowest polymorph: 0 meV/atom
* DOS at the Fermi energy: 1.1 states/eV per cell
* formation energy (no corrections): 674 meV per atom
* V: 132 Å³/cell
* DFT total energy: -3.479 eV/atom

---

No. 6
First-principles (PBE) data for a relaxed NpMnZnOs crystal, as listed in Alexandria via LeMat-Bulk.

Cell lengths 6.3847, 6.3847, 6.3847 Å; angles 90.00, 90.00, 90.00 degrees
Positions (direct):
1 Np 0.0000 0.0000 0.0000
2 Np 0.0000 0.5000 0.5000
3 Np 0.5000 0.0000 0.5000
4 Np 0.5000 0.5000 0.0000
5 Mn 0.2500 0.2500 0.7500
6 Mn 0.2500 0.7500 0.2500
7 Mn 0.7500 0.2500 0.2500
8 Mn 0.7500 0.7500 0.7500
9 Zn 0.0000 0.0000 0.5000
10 Zn 0.0000 0.5000 0.0000
11 Zn 0.5000 0.0000 0.0000
12 Zn 0.5000 0.5000 0.5000
13 Os 0.2500 0.2500 0.2500
14 Os 0.2500 0.7500 0.7500
15 Os 0.7500 0.2500 0.7500
16 Os 0.7500 0.7500 0.2500

Output
* DOS at the Fermi energy: 33.8 states/eV per cell
* formation energy from the elements: 171 meV/atom
* V: 260 Å³/cell
* DFT total energy: -8.482 eV/atom

---

No. 7
First-principles (PBE) data for a relaxed SmHg2Au crystal, as listed in Alexandria via LeMat-Bulk.

Cell lengths 3.4565, 3.4565, 31.4578 Å; angles 90.00, 90.00, 120.00 degrees
Positions (direct):
1 Sm 0.0000 0.0000 0.0000
2 Sm 0.3333 0.6667 0.6667
3 Sm 0.6667 0.3333 0.3333
4 Hg 0.0000 0.0000 0.0974
5 Hg 0.0000 0.0000 0.9026
6 Hg 0.3333 0.6667 0.5693
7 Hg 0.3333 0.6667 0.7640
8 Hg 0.6667 0.3333 0.2360
9 Hg 0.6667 0.3333 0.4307
10 Au 0.0000 0.0000 0.5000
11 Au 0.3333 0.6667 0.1667
12 Au 0.6667 0.3333 0.8333

Output
* DOS at the Fermi energy: 7.2 states/eV per cell
* formation energy from the elements: 144 meV/atom
* V: 325 Å³/cell
* DFT total energy: -2.006 eV/atom

---

No. 8
First-principles (PBE) data for a relaxed MgGeP crystal, as listed in Alexandria via LeMat-Bulk.

Cell lengths 3.7013, 12.0562, 5.2880 Å; angles 90.00, 90.00, 90.00 degrees
Positions (direct):
1 Mg 0.0000 0.1867 0.2500
2 Mg 0.0000 0.8133 0.7500
3 Mg 0.5000 0.3133 0.7500
4 Mg 0.5000 0.6867 0.2500
5 Ge 0.0000 0.4838 0.2500
6 Ge 0.0000 0.5162 0.7500
7 Ge 0.5000 0.0162 0.7500
8 Ge 0.5000 0.9838 0.2500
9 P 0.0000 0.1485 0.7500
10 P 0.0000 0.8515 0.2500
11 P 0.5000 0.3515 0.2500
12 P 0.5000 0.6485 0.7500

Output
* E above lowest polymorph: 111 meV/atom
* DOS at the Fermi energy: 4.8 states/eV per cell
* formation energy from the elements: -197 meV/atom
* V: 236 Å³/cell
* DFT total energy: -4.071 eV/atom

---

No. 9
First-principles (PBE) data for a relaxed Y3Ga8Pt3 crystal, as listed in Alexandria via LeMat-Bulk.

Cell lengths 8.1404, 8.1404, 9.3961 Å; angles 124.46, 124.46, 30.91 degrees
Positions (direct):
1 Y 0.0000 0.0000 0.0000
2 Y 0.2928 0.2928 0.2907
3 Y 0.7072 0.7072 0.7093
4 Ga 0.1424 0.1424 0.4301
5 Ga 0.1506 0.1506 0.8672
6 Ga 0.3442 0.3442 0.7152
7 Ga 0.4998 0.4998 0.3244
8 Ga 0.5002 0.5002 0.6756
9 Ga 0.6558 0.6558 0.2848
10 Ga 0.8494 0.8494 0.1328
11 Ga 0.8576 0.8576 0.5699
12 Pt 0.0000 0.0000 0.5000
13 Pt 0.3535 0.3535 0.9934
14 Pt 0.6465 0.6465 0.0066

Output
* DOS at the Fermi energy: 5.0 states/eV per cell
* formation energy from the elements: -798 meV/atom
* V: 259 Å³/cell
* DFT total energy: -5.207 eV/atom

---

No. 10
First-principles (PBE) data for a relaxed DyHoGePd crystal, as listed in Alexandria via LeMat-Bulk.

Cell lengths 4.2987, 3.8990, 10.8597 Å; angles 90.00, 90.00, 90.00 degrees
Positions (direct):
1 Dy 0.0000 0.0000 0.0000
2 Dy 0.0000 0.5000 0.5000
3 Ho 0.5000 0.0000 0.2784
4 Ho 0.5000 0.5000 0.7784
5 Ge 0.0000 0.0000 0.7227
6 Ge 0.0000 0.5000 0.2227
7 Pd 0.5000 0.0000 0.5596
8 Pd 0.5000 0.5000 0.0596

Output
* E above lowest polymorph: 0 meV/atom
* DOS at the Fermi energy: 3.0 states/eV per cell
* formation energy from the elements: -896 meV/atom
* V: 182 Å³/cell
* DFT total energy: -5.644 eV/atom

---

No. 11
First-principles (PBE) data for a relaxed SrLi2SiPt crystal, as listed in Alexandria via LeMat-Bulk.

Cell lengths 4.8038, 4.8038, 4.6513 Å; angles 90.00, 90.00, 90.00 degrees
Positions (direct):
1 Sr 0.0000 0.0000 0.0000
2 Li 0.0000 0.5000 0.5000
3 Li 0.5000 0.0000 0.5000
4 Si 0.5000 0.5000 0.5000
5 Pt 0.5000 0.5000 0.0000

Output
* E above lowest polymorph: 46 meV/atom
* DOS at the Fermi energy: 2.2 states/eV per cell
* formation energy (no corrections): -420 meV per atom
* V: 107 Å³/cell
* DFT total energy: -3.814 eV/atom

---

No. 12
First-principles (PBE) data for a relaxed KCeSeS crystal, as listed in Alexandria via LeMat-Bulk.

Cell lengths 4.2595, 4.2595, 23.2171 Å; angles 90.00, 90.00, 120.00 degrees
Positions (direct):
1 K 0.0000 0.0000 0.0000
2 K 0.3333 0.6667 0.6667
3 K 0.6667 0.3333 0.3333
4 Ce 0.0000 0.0000 0.1653
5 Ce 0.3333 0.6667 0.8319
6 Ce 0.6667 0.3333 0.4986
7 Se 0.0000 0.0000 0.5715
8 Se 0.3333 0.6667 0.2382
9 Se 0.6667 0.3333 0.9048
10 S 0.0000 0.0000 0.7678
11 S 0.3333 0.6667 0.4344
12 S 0.6667 0.3333 0.1011

Output
* DOS at the Fermi energy: 18.3 states/eV per cell
* formation energy (no corrections): -1700 meV per atom
* V: 365 Å³/cell
* DFT total energy: -5.361 eV/atom